No. 1
This record from Alexandria via LeMat-Bulk describes a relaxed TiPt3Au crystal. The functional is PBE.

It has space group Pm-3m (No. 221), with a = 4.6749 Å, b = 4.6749 Å, c = 4.6749 Å, α = 90.00°, β = 90.00° and γ = 90.00°. The distinct sites, in fractional coordinates, are Ti at (0.0000, 0.0000, 0.0000), Pt at (0.0000, 0.0000, 0.5000) and Au at (0.5000, 0.5000, 0.5000).

The value obtained for the energy relative to the elements is 624.5 meV per atom. For the magnetic moment, the calculation gives 0.00 μB per cell. As for the excess energy over the best structure of this formula in the dataset: 0.0 meV/atom.



No. 2
This record from Alexandria via LeMat-Bulk describes a relaxed TaAs2PSe crystal. The functional is PBE.

It has space group P4/mmm (No. 123), with a = 4.5814 Å, b = 4.5814 Å, c = 4.7584 Å, α = 90.00°, β = 90.00° and γ = 90.00°. The distinct sites, in fractional coordinates, are Ta at (0.0000, 0.0000, 0.0000), As at (0.0000, 0.5000, 0.5000), P at (0.5000, 0.5000, 0.5000) and Se at (0.5000, 0.5000, 0.0000).

The energy relative to the elements, uncorrected is 4.64 eV per formula unit. For the magnetic moment, the calculation gives 0.00 μB per cell. As for the excess energy over the best structure of this formula in the dataset: 264.4 meV/atom.



No. 3
This record from Alexandria via LeMat-Bulk describes a relaxed Ac8Pr2Sm crystal. The functional is PBE.

It has space group C2/m (No. 12), with a = 13.3278 Å, b = 12.6733 Å, c = 6.3138 Å, α = 90.00°, β = 104.20° and γ = 90.00°. The distinct sites, in fractional coordinates, are Ac at (0.0831, 0.0000, 0.2927), Ac at (0.1011, 0.2567, 0.8005), Ac at (0.2323, 0.0000, 0.8855), Pr at (0.1312, 0.5000, 0.5173) and Sm at (0.0000, 0.5000, 0.0000).

The value obtained for the energy relative to the elements is 366.4 meV per atom. For the magnetic moment, the calculation gives 0.00 μB per cell. As for the excess energy over the best structure of this formula in the dataset: 337.3 meV/atom.



Calculated Fermi-level density of states (states/eV per cell), listed in the same order as above: 2.8, 4.2, 32.0